[1]
# HfTl3Cl | Alexandria via LeMat-Bulk | GGA-PBE | relaxed
data_HfTl3Cl
_chemical_formula_sum 'Hf1 Tl3 Cl1'
_symmetry_space_group_name_H-M 'P m -3 m'
_symmetry_Int_Tables_number 221
_symmetry_space_group_name_Hall '-P 4 2 3'
_cell_length_a 5.514
_cell_length_b 5.514
_cell_length_c 5.514
_cell_angle_alpha 90.00
_cell_angle_beta 90.00
_cell_angle_gamma 90.00
loop_
_atom_site_label
_atom_site_type_symbol
_atom_site_fract_x
_atom_site_fract_y
_atom_site_fract_z
_atom_site_occupancy
Hf1 Hf 0.000 0.000 0.000 1
Tl1 Tl 0.000 0.500 0.500 1
Cl1 Cl 0.500 0.500 0.500 1
# Crystal system: cubic
# Total energy, eV/cell: -15.634
# Excess energy over the best structure of this formula in the dataset, eV per atom: 0.255
# Formation energy without anion corrections, eV/atom: 0.6530

---

[2]
# Cs2TmHg3F12 | Alexandria via LeMat-Bulk | GGA-PBE | relaxed
data_Cs2TmHg3F12
_chemical_formula_sum 'Cs6 Tm3 Hg9 F36'
_symmetry_space_group_name_H-M 'R -3 m'
_symmetry_Int_Tables_number 166
_symmetry_space_group_name_Hall '-R 3 2"'
_cell_length_a 8.1547
_cell_length_b 8.1547
_cell_length_c 20.8421
_cell_angle_alpha 90.00
_cell_angle_beta 90.00
_cell_angle_gamma 120.00
loop_
_atom_site_label
_atom_site_type_symbol
_atom_site_fract_x
_atom_site_fract_y
_atom_site_fract_z
_atom_site_occupancy
Cs1 Cs 0.0000 0.0000 0.1661 1
Tm1 Tm 0.0000 0.0000 0.5000 1
Hg1 Hg 0.0000 0.5000 0.0000 1
F1 F 0.0782 0.5391 0.1107 1
F2 F 0.0806 0.5403 0.3662 1
# Crystal system: trigonal
# Total energy, eV/cell: -212.584
# Formation energy without anion corrections, eV/atom: -2.2956

---

[3]
# Sm2Ni4GeAs3 | Alexandria via LeMat-Bulk | GGA-PBE | relaxed
data_Sm2Ni4GeAs3
_chemical_formula_sum 'Sm2 Ni4 Ge1 As3'
_symmetry_space_group_name_H-M 'P -4 m 2'
_symmetry_Int_Tables_number 115
_cell_length_a 4.123
_cell_length_b 4.123
_cell_length_c 9.705
_cell_angle_alpha 90.00
_cell_angle_beta 90.00
_cell_angle_gamma 90.00
loop_
_symmetry_equiv_pos_as_xyz
'x,y,z'
'y,-x,-z'
'-x,-y,z'
'-y,x,-z'
'-x,y,z'
'-y,-x,-z'
'x,-y,z'
'y,x,-z'
loop_
_atom_site_label
_atom_site_type_symbol
_atom_site_fract_x
_atom_site_fract_y
_atom_site_fract_z
_atom_site_occupancy
Sm1 Sm 0.000 0.500 0.246 1
Ni1 Ni 0.000 0.000 0.000 1
Ni2 Ni 0.000 0.500 0.625 1
Ni3 Ni 0.500 0.500 0.000 1
Ge1 Ge 0.000 0.000 0.500 1
As1 As 0.000 0.500 0.869 1
As2 As 0.500 0.500 0.500 1
# Crystal system: tetragonal
# Total energy, eV/cell: -59.189

---

[4]
# GdTaCoRu | Alexandria via LeMat-Bulk | GGA-PBE | relaxed
data_GdTaCoRu
_chemical_formula_sum 'Gd4 Ta4 Co4 Ru4'
_symmetry_space_group_name_H-M 'F -4 3 m'
_symmetry_Int_Tables_number 216
_symmetry_space_group_name_Hall 'F -4 2 3'
_cell_length_a 6.504
_cell_length_b 6.504
_cell_length_c 6.504
_cell_angle_alpha 90.00
_cell_angle_beta 90.00
_cell_angle_gamma 90.00
loop_
_atom_site_label
_atom_site_type_symbol
_atom_site_fract_x
_atom_site_fract_y
_atom_site_fract_z
_atom_site_occupancy
Gd1 Gd 0.000 0.000 0.000 1
Ta1 Ta 0.000 0.000 0.500 1
Co1 Co 0.250 0.250 0.750 1
Ru1 Ru 0.250 0.250 0.250 1
# Crystal system: cubic
# Total energy, eV/cell: -170.506

---

[5]
# Np2NiS4Br | Alexandria via LeMat-Bulk | GGA-PBE | relaxed
data_Np2NiS4Br
_chemical_formula_sum 'Np4 Ni2 S8 Br2'
_symmetry_space_group_name_H-M 'C 1 2/m 1'
_symmetry_Int_Tables_number 12
_cell_length_a 10.992
_cell_length_b 3.833
_cell_length_c 9.266
_cell_angle_alpha 90.00
_cell_angle_beta 115.04
_cell_angle_gamma 90.00
loop_
_symmetry_equiv_pos_as_xyz
'x,y,z'
'-x,-y,-z'
'-x,y,-z'
'x,-y,z'
'x+1/2,y+1/2,z'
'-x+1/2,-y+1/2,-z'
'-x+1/2,y+1/2,-z'
'x+1/2,-y+1/2,z'
loop_
_atom_site_label
_atom_site_type_symbol
_atom_site_fract_x
_atom_site_fract_y
_atom_site_fract_z
_atom_site_occupancy
Np1 Np 0.189 0.000 0.279 1
Ni1 Ni 0.000 0.000 0.500 1
S1 S 0.112 0.500 0.427 1
S2 S 0.163 0.000 0.766 1
Br1 Br 0.000 0.500 0.000 1
# Crystal system: monoclinic
# Total energy, eV/cell: -115.097
# Formation energy without anion corrections, eV/atom: -0.9629